A relaxed structure of CeC, computed with PBE.

Relative energy among the computed polymorphs   171.8 meV/atom
Theoretical density   7688 kg/m³

abc: 3.7868 3.7868 5.3075
angles: 110.90 110.90 90.00
Last column: magnetic moment on the atom in μB.
Fractional positions:
Ce 0.8466 0.8466 0.6932  0.49
Ce 0.1534 0.1534 0.3068  0.49
C 0.5757 0.5757 0.1514  0.00
C 0.4243 0.4243 0.8486  0.00